Entry 1:
# Mg2CrSbN

A relaxed structure of Mg2CrSbN (PBE, Alexandria via LeMat-Bulk).

Cell and atoms, written as CIF:
```
data_Mg2CrSbN
_chemical_formula_sum 'Mg2 Cr1 Sb1 N1'
_cell_length_a 4.314
_cell_length_b 4.314
_cell_length_c 4.328
_cell_angle_alpha 90.00
_cell_angle_beta 90.00
_cell_angle_gamma 90.00
_symmetry_space_group_name_H-M 'P 4/m m m'
_symmetry_Int_Tables_number 123
_symmetry_space_group_name_Hall '-P 4 2'
loop_
_atom_site_label
_atom_site_type_symbol
_atom_site_fract_x
_atom_site_fract_y
_atom_site_fract_z
Mg1 Mg 0.000 0.500 0.000
Cr1 Cr 0.000 0.000 0.500
Sb1 Sb 0.500 0.500 0.500
N1 N 0.000 0.000 0.000
```

final energy	-5.390	eV/atom
uncorrected formation energy	-0.34	eV per atom

---

Entry 2:
# MgCrSe2N

A relaxed structure of MgCrSe2N (PBE, Alexandria via LeMat-Bulk).

Cell and atoms, written as CIF:
```
data_MgCrSe2N
_chemical_formula_sum 'Mg1 Cr1 Se2 N1'
_cell_length_a 5.038
_cell_length_b 5.038
_cell_length_c 3.535
_cell_angle_alpha 90.00
_cell_angle_beta 90.00
_cell_angle_gamma 90.00
_symmetry_space_group_name_H-M 'P 4/m m m'
_symmetry_Int_Tables_number 123
_symmetry_space_group_name_Hall '-P 4 2'
loop_
_atom_site_label
_atom_site_type_symbol
_atom_site_fract_x
_atom_site_fract_y
_atom_site_fract_z
Mg1 Mg 0.000 0.000 0.000
Cr1 Cr 0.500 0.500 0.500
Se1 Se 0.000 0.500 0.500
N1 N 0.500 0.500 0.000
```

excess energy over the best structure of this formula in the dataset	0.00	eV/f.u.
final energy	-5.509	eV/atom
uncorrected formation energy	-0.21	eV per atom

---

Entry 3:
# MgCrSe2N

A relaxed structure of MgCrSe2N (PBE, Alexandria via LeMat-Bulk).

Cell and atoms, written as CIF:
```
data_MgCrSe2N
_chemical_formula_sum 'Mg1 Cr1 Se2 N1'
_cell_length_a 5.118
_cell_length_b 5.118
_cell_length_c 3.935
_cell_angle_alpha 90.00
_cell_angle_beta 90.00
_cell_angle_gamma 90.00
_symmetry_space_group_name_H-M 'P 4/m m m'
_symmetry_Int_Tables_number 123
_symmetry_space_group_name_Hall '-P 4 2'
loop_
_atom_site_label
_atom_site_type_symbol
_atom_site_fract_x
_atom_site_fract_y
_atom_site_fract_z
Mg1 Mg 0.000 0.000 0.000
Cr1 Cr 0.500 0.500 0.500
Se1 Se 0.000 0.500 0.000
N1 N 0.000 0.000 0.500
```

excess energy over the best structure of this formula in the dataset	4.44	eV/f.u.
final energy	-4.621	eV/atom
uncorrected formation energy	0.68	eV per atom

---

Entry 4:
# Mg2CrSnN

A relaxed structure of Mg2CrSnN (PBE, Alexandria via LeMat-Bulk).

Cell and atoms, written as CIF:
```
data_Mg2CrSnN
_chemical_formula_sum 'Mg2 Cr1 Sn1 N1'
_cell_length_a 4.308
_cell_length_b 4.308
_cell_length_c 4.236
_cell_angle_alpha 90.00
_cell_angle_beta 90.00
_cell_angle_gamma 90.00
_symmetry_space_group_name_H-M 'P 4/m m m'
_symmetry_Int_Tables_number 123
_symmetry_space_group_name_Hall '-P 4 2'
loop_
_atom_site_label
_atom_site_type_symbol
_atom_site_fract_x
_atom_site_fract_y
_atom_site_fract_z
Mg1 Mg 0.000 0.500 0.000
Cr1 Cr 0.000 0.000 0.500
Sn1 Sn 0.500 0.500 0.500
N1 N 0.000 0.000 0.000
```

final energy	-5.299	eV/atom
uncorrected formation energy	-0.27	eV per atom

---

Entry 5:
# Mg2CrSnN4

A relaxed structure of Mg2CrSnN4 (PBE, Alexandria via LeMat-Bulk).

Cell and atoms, written as CIF:
```
data_Mg2CrSnN4
_chemical_formula_sum 'Mg4 Cr2 Sn2 N8'
_cell_length_a 4.701
_cell_length_b 4.701
_cell_length_c 9.503
_cell_angle_alpha 90.00
_cell_angle_beta 90.00
_cell_angle_gamma 90.00
_symmetry_space_group_name_H-M 'I -4 2 m'
_symmetry_Int_Tables_number 121
_symmetry_space_group_name_Hall 'I -4 2'
loop_
_atom_site_label
_atom_site_type_symbol
_atom_site_fract_x
_atom_site_fract_y
_atom_site_fract_z
Mg1 Mg 0.000 0.500 0.250
Cr1 Cr 0.000 0.000 0.000
Sn1 Sn 0.000 0.000 0.500
N1 N 0.225 0.225 0.883
```

final energy	-6.666	eV/atom
uncorrected formation energy	-0.40	eV per atom

---

Entry 6:
# Mg2TaCrN4

A relaxed structure of Mg2TaCrN4 (PBE, Alexandria via LeMat-Bulk).

Cell and atoms, written as CIF:
```
data_Mg2TaCrN4
_chemical_formula_sum 'Mg2 Ta1 Cr1 N4'
_cell_length_a 5.210
_cell_length_b 3.076
_cell_length_c 5.357
_cell_angle_alpha 90.00
_cell_angle_beta 108.91
_cell_angle_gamma 90.00
_symmetry_space_group_name_H-M 'P 1 2/m 1'
_symmetry_Int_Tables_number 10
loop_
_symmetry_equiv_pos_as_xyz
'x,y,z'
'-x,-y,-z'
'-x,y,-z'
'x,-y,z'
loop_
_atom_site_label
_atom_site_type_symbol
_atom_site_fract_x
_atom_site_fract_y
_atom_site_fract_z
Mg1 Mg 0.000 0.000 0.000
Mg2 Mg 0.500 0.500 0.000
Ta1 Ta 0.000 0.500 0.500
Cr1 Cr 0.500 0.000 0.500
N1 N 0.243 0.000 0.734
N2 N 0.256 0.500 0.267
```

final energy	-8.181	eV/atom
uncorrected formation energy	-0.94	eV per atom

---

Entry 7:
# Mg2CrTcN4

A relaxed structure of Mg2CrTcN4 (PBE, Alexandria via LeMat-Bulk).

Cell and atoms, written as CIF:
```
data_Mg2CrTcN4
_chemical_formula_sum 'Mg4 Cr2 Tc2 N8'
_cell_length_a 4.578
_cell_length_b 4.578
_cell_length_c 9.270
_cell_angle_alpha 90.00
_cell_angle_beta 90.00
_cell_angle_gamma 90.00
_symmetry_space_group_name_H-M 'I -4 2 m'
_symmetry_Int_Tables_number 121
_symmetry_space_group_name_Hall 'I -4 2'
loop_
_atom_site_label
_atom_site_type_symbol
_atom_site_fract_x
_atom_site_fract_y
_atom_site_fract_z
Mg1 Mg 0.000 0.500 0.250
Cr1 Cr 0.000 0.000 0.000
Tc1 Tc 0.000 0.000 0.500
N1 N 0.240 0.240 0.107
```

final energy	-7.467	eV/atom
uncorrected formation energy	-0.41	eV per atom

---

Entry 8:
# MgCrTe2N

A relaxed structure of MgCrTe2N (PBE, Alexandria via LeMat-Bulk).

Cell and atoms, written as CIF:
```
data_MgCrTe2N
_chemical_formula_sum 'Mg1 Cr1 Te2 N1'
_cell_length_a 5.485
_cell_length_b 5.485
_cell_length_c 3.555
_cell_angle_alpha 90.00
_cell_angle_beta 90.00
_cell_angle_gamma 90.00
_symmetry_space_group_name_H-M 'P 4/m m m'
_symmetry_Int_Tables_number 123
_symmetry_space_group_name_Hall '-P 4 2'
loop_
_atom_site_label
_atom_site_type_symbol
_atom_site_fract_x
_atom_site_fract_y
_atom_site_fract_z
Mg1 Mg 0.000 0.000 0.000
Cr1 Cr 0.500 0.500 0.500
Te1 Te 0.000 0.500 0.500
N1 N 0.500 0.500 0.000
```

excess energy over the best structure of this formula in the dataset	0.00	eV/f.u.
final energy	-5.220	eV/atom
uncorrected formation energy	-0.05	eV per atom

---

Entry 9:
# MgCrTe2N

A relaxed structure of MgCrTe2N (PBE, Alexandria via LeMat-Bulk).

Cell and atoms, written as CIF:
```
data_MgCrTe2N
_chemical_formula_sum 'Mg1 Cr1 Te2 N1'
_cell_length_a 5.632
_cell_length_b 5.632
_cell_length_c 3.842
_cell_angle_alpha 90.00
_cell_angle_beta 90.00
_cell_angle_gamma 90.00
_symmetry_space_group_name_H-M 'P 4/m m m'
_symmetry_Int_Tables_number 123
_symmetry_space_group_name_Hall '-P 4 2'
loop_
_atom_site_label
_atom_site_type_symbol
_atom_site_fract_x
_atom_site_fract_y
_atom_site_fract_z
Mg1 Mg 0.000 0.000 0.000
Cr1 Cr 0.500 0.500 0.500
Te1 Te 0.000 0.500 0.000
N1 N 0.000 0.000 0.500
```

excess energy over the best structure of this formula in the dataset	4.17	eV/f.u.
final energy	-4.386	eV/atom
uncorrected formation energy	0.78	eV per atom

---

Entry 10:
# ThMg2CrN4

A relaxed structure of ThMg2CrN4 (PBE, Alexandria via LeMat-Bulk).

Cell and atoms, written as CIF:
```
data_ThMg2CrN4
_chemical_formula_sum 'Th4 Mg8 Cr4 N16'
_cell_length_a 3.320
_cell_length_b 11.374
_cell_length_c 10.525
_cell_angle_alpha 90.00
_cell_angle_beta 90.00
_cell_angle_gamma 90.00
_symmetry_space_group_name_H-M 'C m c m'
_symmetry_Int_Tables_number 63
_symmetry_space_group_name_Hall '-C 2c 2'
loop_
_atom_site_label
_atom_site_type_symbol
_atom_site_fract_x
_atom_site_fract_y
_atom_site_fract_z
Th1 Th 0.000 0.078 0.250
Mg1 Mg 0.000 0.382 0.039
Cr1 Cr 0.000 0.184 0.750
N1 N 0.000 0.000 0.000
N2 N 0.000 0.281 0.625
N3 N 0.000 0.410 0.250
```

final energy	-7.522	eV/atom
uncorrected formation energy	-0.83	eV per atom

---

Entry 11:
# Mg2VCrN4

A relaxed structure of Mg2VCrN4 (PBE, Alexandria via LeMat-Bulk).

Cell and atoms, written as CIF:
```
data_Mg2VCrN4
_chemical_formula_sum 'Mg4 V2 Cr2 N8'
_cell_length_a 6.516
_cell_length_b 5.727
_cell_length_c 5.152
_cell_angle_alpha 90.00
_cell_angle_beta 90.00
_cell_angle_gamma 90.00
_symmetry_space_group_name_H-M 'P m n 21'
_symmetry_Int_Tables_number 31
loop_
_symmetry_equiv_pos_as_xyz
'x,y,z'
'-x+1/2,-y,z+1/2'
'-x,y,z'
'x+1/2,-y,z+1/2'
loop_
_atom_site_label
_atom_site_type_symbol
_atom_site_fract_x
_atom_site_fract_y
_atom_site_fract_z
Mg1 Mg 0.250 0.172 0.000
V1 V 0.000 0.341 0.507
Cr1 Cr 0.000 0.663 0.003
N1 N 0.000 0.361 0.865
N2 N 0.000 0.637 0.368
N3 N 0.246 0.187 0.414
```

final energy	-7.659	eV/atom
uncorrected formation energy	-0.75	eV per atom

---

Entry 12:
# Mg2CrWN4

A relaxed structure of Mg2CrWN4 (PBE, Alexandria via LeMat-Bulk).

Cell and atoms, written as CIF:
```
data_Mg2CrWN4
_chemical_formula_sum 'Mg4 Cr2 W2 N8'
_cell_length_a 4.709
_cell_length_b 4.709
_cell_length_c 9.356
_cell_angle_alpha 90.00
_cell_angle_beta 90.00
_cell_angle_gamma 90.00
_symmetry_space_group_name_H-M 'I -4 2 m'
_symmetry_Int_Tables_number 121
_symmetry_space_group_name_Hall 'I -4 2'
loop_
_atom_site_label
_atom_site_type_symbol
_atom_site_fract_x
_atom_site_fract_y
_atom_site_fract_z
Mg1 Mg 0.000 0.500 0.250
Cr1 Cr 0.000 0.000 0.000
W1 W 0.000 0.000 0.500
N1 N 0.236 0.236 0.386
```

final energy	-7.976	eV/atom
uncorrected formation energy	-0.59	eV per atom